# 1
DFT (PBE) results for a geometry-optimized Nb3NiN structure.

Cell and atoms, written as extended XYZ:
```
5
Lattice="-0.437 -0.927 -4.081 -2.361 -3.333 1.010 -3.455 2.395 -0.174" Properties=species:S:1:pos:R:3 pbc="T T T"
N 0.000 0.000 0.000
Nb -0.219 -0.463 -2.041
Nb -1.728 1.198 -0.087
Nb -1.181 -1.667 0.505
Ni -3.127 -0.932 -1.622
```

Summary:
Formation energy from raw total energies in eV per atom: -0.39



# 2
DFT (PBE) results for a geometry-optimized Y4SiAsSe2 structure.

Cell and atoms, written as extended XYZ:
```
8
Lattice="4.113 0.000 0.000 0.000 7.151 -0.155 0.000 2.505 6.676" Properties=species:S:1:pos:R:3 pbc="T T T"
Se 0.000 2.505 6.676
Se 2.057 1.252 3.338
Y 2.057 5.909 1.611
Y 4.113 2.514 1.626
Y 0.000 7.142 4.895
Y 2.057 3.747 4.910
As 2.057 3.576 -0.077
Si 0.000 4.828 3.260
```

Summary:
Formation energy from raw total energies in eV per atom: -1.55



# 3
DFT (PBE) results for a geometry-optimized Nb2GaFeN structure.

Cell and atoms, written as extended XYZ:
```
5
Lattice="-3.176 -1.421 2.528 -0.802 -3.172 -2.791 2.438 -2.216 1.818" Properties=species:S:1:pos:R:3 pbc="T T T"
Fe 1.219 -1.108 0.909
N 0.000 0.000 0.000
Nb -1.588 -0.710 1.264
Nb -0.401 -1.586 -1.395
Ga -0.770 -3.404 0.777
```

Summary:
Formation energy from raw total energies in eV per atom: -0.45



What is the formula in the first record?
Nb3NiN



Which value of formation energy from raw total energies does entry 2 give?
-1.55 eV per atom



Which value of formation energy from raw total energies does entry 3 give?
-0.45 eV per atom



Among the records above, which one has the highest formation energy from raw total energies?
Nb3NiN